No. 1
Dy2Sc2CBr5 | PBE | optimized geometry

space group	C2/m, No. 12

Cell: 9.010 9.010 8.108 Å, 102.56 102.56 23.79°
Positions (direct):
Br  0.169  0.169  0.847
Dy  0.001  0.001  0.798
Br  0.831  0.831  0.153
Dy  0.999  0.999  0.202
C  0.500  0.500  0.000
Br  0.834  0.834  0.681
Br  0.500  0.500  0.500
Sc  0.369  0.369  0.933
Br  0.166  0.166  0.319
Sc  0.631  0.631  0.067

=====

No. 2
Dy2Sc2CBr5 | PBE | optimized geometry

space group	C2/m, No. 12

Cell: 8.906 8.906 7.827 Å, 102.90 102.90 24.05°
Positions (direct):
Sc  0.000  0.000  0.808
Br  0.500  0.500  0.500
Dy  0.639  0.639  0.072
Br  0.160  0.160  0.350
Dy  0.361  0.361  0.928
Br  0.840  0.840  0.650
C  0.500  0.500  0.000
Br  0.834  0.834  0.185
Br  0.166  0.166  0.815
Sc  0.000  0.000  0.192

=====

No. 3
SmDyC2Br2 | PBE | optimized geometry

space group	Cm, No. 8

Cell: 4.049 4.049 10.970 Å, 98.05 98.05 56.57°
Positions (direct):
Dy  0.597  0.597  0.866
C  0.912  0.912  0.963
C  0.085  0.085  0.029
Br  0.790  0.790  0.313
Sm  0.406  0.406  0.136
Br  0.209  0.209  0.693

=====

No. 4
Sm2Dy2CBr5 | PBE | optimized geometry

space group	C2/m, No. 12

Cell: 9.173 9.173 8.305 Å, 102.63 102.63 24.36°
Positions (direct):
Br  0.500  0.500  0.500
Dy  0.362  0.362  0.929
Dy  0.638  0.638  0.071
Sm  0.999  0.999  0.204
Br  0.173  0.173  0.839
Br  0.167  0.167  0.331
Br  0.833  0.833  0.669
Br  0.827  0.827  0.161
Sm  0.001  0.001  0.796
C  0.500  0.500  0.000

=====

No. 5
Sm2Dy2CBr5 | PBE | optimized geometry

space group	C2/m, No. 12

Cell: 9.151 9.151 8.166 Å, 103.06 103.06 24.15°
Positions (direct):
C  0.500  0.500  0.000
Br  0.832  0.832  0.183
Sm  0.642  0.642  0.075
Br  0.168  0.168  0.817
Dy  0.999  0.999  0.201
Sm  0.358  0.358  0.925
Br  0.838  0.838  0.650
Dy  0.001  0.001  0.799
Br  0.500  0.500  0.500
Br  0.162  0.162  0.350

=====

No. 6
TbDyC2Br2 | PBE | optimized geometry

space group	Cm, No. 8

Cell: 4.012 4.012 10.984 Å, 94.07 94.07 56.45°
Positions (direct):
C  0.575  0.575  0.466
Br  0.823  0.823  0.805
Dy  0.855  0.855  0.368
Br  0.178  0.178  0.197
C  0.425  0.425  0.533
Tb  0.145  0.145  0.632

=====

No. 7
Dy2Tm2CBr5 | PBE | optimized geometry

space group	C2/m, No. 12

Cell: 9.100 9.100 8.114 Å, 102.35 102.35 24.02°
Positions (direct):
Tm  0.635  0.635  0.070
Tm  0.365  0.365  0.930
Br  0.836  0.836  0.668
Dy  0.001  0.001  0.799
Br  0.170  0.170  0.835
Br  0.164  0.164  0.332
Br  0.830  0.830  0.165
C  0.500  0.500  0.000
Br  0.500  0.500  0.500
Dy  0.999  0.999  0.201

=====

No. 8
DyYCBr2 | PBE | optimized geometry

space group	P3m1, No. 156

Cell: 3.765 3.765 10.576 Å, 90.00 90.00 120.00°
Positions (direct):
Dy  0.000  0.000  0.627
Y  0.667  0.333  0.373
C  0.333  0.667  0.500
Br  0.667  0.333  0.809
Br  0.000  0.000  0.190

=====

no.,volume (Å³ per atom),raw total energy (eV/atom),spin magnetization (μB per formula unit)
1,25.88,-5.367,0.1
2,24.63,-5.331,0.0
3,24.70,-6.254,0.0
4,28.09,-5.060,0.1
5,27.22,-5.057,0.2
6,24.48,-6.251,0.0
7,26.68,-4.987,0.1
8,25.97,-6.023,0.0